{"formula": "NaCuAg3", "functional": "PBE", "state": "optimized geometry", "lattice": [[-4.3833, 2.1953, -0.3232], [-0.9976, -1.3105, 4.6286], [1.9821, 4.1952, 1.6150]], "species": ["Na", "Cu", "Ag", "Ag", "Ag"], "frac_coords": [[0.5000, 0.5000, 0.5000], [0.0000, 0.0000, 0.0000], [0.0000, 0.5000, 0.0000], [0.0000, 0.0000, 0.5000], [0.5000, 0.0000, 0.0000]], "e_above_lowest_polymorph_mev_per_atom": 0, "formation_enthalpy_0k_ev_per_atom": 0.321, "sg": "Pm-3m (221)", "total_energy_ev_per_atom": -2.473}